{"formula": "Mg2InAu8", "functional": "PBE", "state": "relaxed", "lattice_angstrom": [[4.265, -5.537, 0.000], [4.265, 5.537, 0.000], [-0.007, 0.000, 4.468]], "species": ["Mg", "Mg", "In", "Au", "Au", "Au", "Au", "Au", "Au", "Au", "Au"], "frac_coords": [[0.131, 0.869, 0.000], [0.869, 0.131, 0.000], [0.500, 0.500, 0.500], [0.163, 0.163, 0.498], [0.191, 0.457, 0.999], [0.254, 0.746, 0.500], [0.457, 0.191, 0.999], [0.543, 0.809, 0.001], [0.746, 0.254, 0.500], [0.809, 0.543, 0.001], [0.837, 0.837, 0.502]], "final_energy_ev_per_cell": -34.49, "relative_energy_ev_per_atom": 0.077, "sg": "C2/m, No. 12"}

{"formula": "ZrTi4", "functional": "PBE", "state": "relaxed", "lattice_angstrom": [[4.755, 0.000, 0.000], [0.000, 4.755, 0.000], [0.000, 0.000, 4.755]], "species": ["Zr", "Ti", "Ti", "Ti", "Ti"], "frac_coords": [[0.000, 0.000, 0.000], [0.000, 0.000, 0.500], [0.000, 0.500, 0.000], [0.500, 0.000, 0.000], [0.500, 0.500, 0.500]], "final_energy_ev_per_cell": -34.27, "relative_energy_ev_per_atom": 1.097, "sg": "Pm-3m, No. 221"}